No. 1
Density functional theory data (PBE-GGA) for a relaxed structure of Tm5NiTe3.

Lattice parameters (Å, degrees): 8.494 8.494 3.756 90.00 90.00 120.00
Fractional coordinates of all 9 atoms:
Tm 0.000 0.227 0.000
Tm 0.227 0.000 0.000
Tm 0.333 0.667 0.000
Tm 0.667 0.333 0.000
Tm 0.773 0.773 0.000
Ni 0.000 0.000 0.500
Te 0.000 0.573 0.500
Te 0.427 0.427 0.500
Te 0.573 0.000 0.500

Computed properties:
- E above lowest polymorph (meV per atom) = 0


No. 2
Density functional theory data (PBE-GGA) for a relaxed structure of TbTePO6.

Lattice parameters (Å, degrees): 5.217 5.217 9.648 90.00 90.00 120.00
Fractional coordinates of all 18 atoms:
Tb 0.000 0.000 0.000
Tb 0.000 0.000 0.500
Te 0.333 0.667 0.250
Te 0.667 0.333 0.750
P 0.333 0.667 0.750
P 0.667 0.333 0.250
O 0.015 0.367 0.138
O 0.015 0.648 0.362
O 0.352 0.367 0.362
O 0.352 0.985 0.138
O 0.367 0.015 0.638
O 0.367 0.352 0.862
O 0.633 0.648 0.138
O 0.633 0.985 0.362
O 0.648 0.015 0.862
O 0.648 0.633 0.638
O 0.985 0.352 0.638
O 0.985 0.633 0.862

Computed properties:
- electronic total energy (eV/atom) = -6.394


No. 3
Density functional theory data (PBE-GGA) for a relaxed structure of ScAlCu2.

Lattice parameters (Å, degrees): 3.032 3.032 6.631 90.00 90.00 90.00
Fractional coordinates of all 4 atoms:
Sc 0.000 0.000 0.000
Al 0.000 0.000 0.500
Cu 0.500 0.500 0.280
Cu 0.500 0.500 0.720

Computed properties:
- electronic total energy (eV/atom) = -4.639


No. 4
Density functional theory data (PBE-GGA) for a relaxed structure of SmInTe3Pb.

Lattice parameters (Å, degrees): 7.930 7.930 11.055 90.00 90.00 146.95
Fractional coordinates of all 12 atoms:
Sm 0.000 0.000 0.000
Sm 0.000 0.000 0.500
In 0.477 0.523 0.750
In 0.523 0.477 0.250
Te 0.114 0.886 0.750
Te 0.352 0.648 0.537
Te 0.352 0.648 0.963
Te 0.648 0.352 0.037
Te 0.648 0.352 0.463
Te 0.886 0.114 0.250
Pb 0.224 0.776 0.250
Pb 0.776 0.224 0.750

Computed properties:
- electronic total energy (eV/atom) = -4.029